Here is crystalline LiCa2Os at its relaxed geometry from Alexandria. Energies are from GGA-PBE.

## Properties
Its formation energy is 1.5 eV/f.u. As for the space group: Cm (8). Its density of states at the Fermi level is 2.84 states/eV/f.u. The calculation puts the calculated volume at 89.1 Å³/cell.

The structure in POSCAR format:
```
LiCa2Os
1.0
5.7430 0.0021 -0.0059
4.9210 2.9607 -0.0059
1.2954 0.3599 5.2406
Ca Os Li
2 1 1
direct
0.7650 0.7650 0.7019
0.9643 0.9643 0.0831
0.2225 0.2225 0.2131
0.5482 0.5482 0.5020
```